(1)
Crystalline BaNpCoS4 at its relaxed geometry. Source: the Alexandria database, functional PBE-GGA.

Computed properties:
For the formation energy (no corrections), the calculation gives -1.2268 eV/atom. The value obtained for the raw total energy is -6.724 eV per atom.

abc: 6.5771 5.8256 8.5359
angles: 90.00 106.49 90.00
Last column: nearest neighbours and their distance in Å.
Space group P2_1/m (No. 11)
Symmetry-distinct sites (fractional):
Ba (0.2403, 0.2500, 0.4397)  8 S 3.14-3.30
Np (0.2437, 0.2500, 0.9462)  6 S 2.69-2.85
Co (0.2696, 0.7500, 0.1659)  4 S 2.17-2.25
S (0.0662, 0.7500, 0.3381)  1 Co 2.25
S (0.0744, 0.7500, 0.9140)  1 Co 2.17
S (0.4833, 0.5101, 0.7839)  1 Co 2.17

(2)
Crystalline CsMg2Hg3 at its relaxed geometry. Source: the Alexandria database, functional PBE-GGA.

Computed properties:
The value obtained for the raw total energy is -1.034 eV per atom. As for the formation energy: -209.1 meV per atom.

abc: 12.4104 9.1015 6.4339
angles: 90.00 90.00 90.00
Last column: nearest neighbours and their distance in Å.
Space group Cmcm (No. 63)
Symmetry-distinct sites (fractional):
Cs (0.0000, 0.1493, 0.2500)  11 Hg 3.90-4.20, 2 Cs 4.21, 8 Mg 4.30-4.35
Mg (0.1932, 0.5000, 0.0000)  6 Hg 2.90-3.00, 2 Mg 3.22
Hg (0.0000, 0.4227, 0.7500)  4 Mg 2.97, 2 Hg 3.09
Hg (0.2007, 0.2219, 0.7500)  4 Mg 2.90-3.00, 1 Hg 3.09

(3)
Crystalline CaTb3Pm6Nd2 at its relaxed geometry. Source: the Alexandria database, functional PBE-GGA.

Computed properties:
The value obtained for the raw total energy is -4.465 eV per atom. As for the formation energy: 29.2 meV per atom.

abc: 6.3217 10.9519 12.0532
angles: 90.00 100.03 90.00
Last column: nearest neighbours and their distance in Å.
Space group C2/m (No. 12)
Symmetry-distinct sites (fractional):
Ca (0.0000, 0.0000, 0.0000)  6 Nd 3.65, 6 Pm 3.71
Tb (0.0000, 0.1659, 0.5000)  6 Pm 3.57-3.60, 6 Tb 3.63-3.66
Tb (0.0000, 0.5000, 0.5000)  6 Pm 3.56-3.60, 6 Tb 3.65-3.66
Pm (0.2449, 0.3309, 0.7446)  3 Tb 3.57-3.60, 6 Pm 3.62-3.70, 2 Nd 3.68, 1 Ca 3.71
Pm (0.2481, 0.5000, 0.2562)  3 Tb 3.56-3.58, 6 Pm 3.62-3.70, 2 Nd 3.69, 1 Ca 3.71
Nd (0.0000, 0.3330, 0.0000)  3 Nd 3.65-3.66, 3 Ca 3.65, 6 Pm 3.68-3.69

(4)
Crystalline Zn2TcTe at its relaxed geometry. Source: the Alexandria database, functional PBE-GGA.

Computed properties:
For the formation energy (no corrections), the calculation gives 0.3293 eV/atom. The value obtained for the raw total energy is -3.685 eV per atom.

abc: 9.4818 3.4918 4.3528
angles: 90.00 105.96 90.00
Last column: nearest neighbours and their distance in Å.
Space group C2/m (No. 12)
Symmetry-distinct sites (fractional):
Zn (0.2392, 0.0000, 0.2137)  2 Zn 2.60, 3 Tc 2.81-2.87, 1 Te 2.87
Tc (0.0000, 0.5000, 0.0000)  4 Te 2.79, 6 Zn 2.81-2.87
Te (0.0000, 0.0000, 0.5000)  4 Tc 2.79, 6 Zn 2.87-3.00

(5)
Crystalline NaAcMgGa at its relaxed geometry. Source: the Alexandria database, functional PBE-GGA.

Computed properties:
The value obtained for the raw total energy is -2.620 eV per atom. As for the formation energy: -108.1 meV per atom.

abc: 7.5809 7.5809 7.5809
angles: 90.00 90.00 90.00
Last column: nearest neighbours and their distance in Å.
Space group F-43m (No. 216)
Symmetry-distinct sites (fractional):
Na (0.0000, 0.0000, 0.0000)  4 Ac 3.28, 4 Mg 3.28
Ac (0.2500, 0.2500, 0.2500)  4 Na 3.28, 4 Ga 3.28
Mg (0.2500, 0.2500, 0.7500)  4 Na 3.28, 4 Ga 3.28
Ga (0.0000, 0.0000, 0.5000)  4 Mg 3.28, 4 Ac 3.28

(6)
Crystalline NbSiW3 at its relaxed geometry. Source: the Alexandria database, functional PBE-GGA.

Computed properties:
For the formation energy (no corrections), the calculation gives 2.4903 eV/atom. The value obtained for the raw total energy is -8.380 eV per atom.

abc: 4.7742 4.7742 4.7742
angles: 90.00 90.00 90.00
Last column: nearest neighbours and their distance in Å.
Space group Pm-3m (No. 221)
Symmetry-distinct sites (fractional):
Nb (0.0000, 0.0000, 0.0000)  6 W 2.39
Si (0.5000, 0.5000, 0.5000)  12 W 3.38
W (0.0000, 0.0000, 0.5000)  2 Nb 2.39